# 1
CaReW2 | PBE-GGA | relaxed

Computed properties:
For the energy relative to the elements, the calculation gives 80.6 kJ/mol of atoms.

```
data_CaReW2
_chemical_formula_sum 'Ca2 Re2 W4'
_space_group_name_H-M_alt 'C 1 m 1'
_space_group_IT_number 8
_cell_length_a 10.650
_cell_length_b 2.706
_cell_length_c 5.279
_cell_angle_alpha 90.00
_cell_angle_beta 104.65
_cell_angle_gamma 90.00
loop_
_space_group_symop_operation_xyz
'x,y,z'
'x,-y,z'
'x+1/2,y+1/2,z'
'x+1/2,-y+1/2,z'
loop_
_atom_site_label
_atom_site_fract_x
_atom_site_fract_y
_atom_site_fract_z
_atom_site_occupancy
Ca1 0.000 0.000 0.000 1
Re1 0.265 0.500 0.243 1
W1 0.218 0.000 0.686 1
W2 0.483 0.000 0.490 1
```

---

# 2
Ca2SiC | PBE-GGA | relaxed

Computed properties:
The calculation puts the formation energy (no corrections) at 0.63 eV/atom.

```
data_Ca2SiC
_chemical_formula_sum 'Ca8 Si4 C4'
_space_group_name_H-M_alt 'F m -3 m'
_space_group_IT_number 225
_space_group_name_Hall '-F 4 2 3'
_cell_length_a 6.828
_cell_length_b 6.828
_cell_length_c 6.828
_cell_angle_alpha 90.00
_cell_angle_beta 90.00
_cell_angle_gamma 90.00
loop_
_atom_site_label
_atom_site_fract_x
_atom_site_fract_y
_atom_site_fract_z
_atom_site_occupancy
Ca1 0.250 0.250 0.250 1
Si1 0.000 0.000 0.000 1
C1 0.000 0.000 0.500 1
```

---

# 3
Tb14ThIn | PBE-GGA | relaxed

Computed properties:
For the energy relative to the elements, the calculation gives -2.3 kJ/mol of atoms.

```
data_Tb14ThIn
_chemical_formula_sum 'Tb28 Th2 In2'
_space_group_name_H-M_alt 'A m m 2'
_space_group_IT_number 38
_cell_length_a 10.014
_cell_length_b 9.996
_cell_length_c 9.997
_cell_angle_alpha 90.00
_cell_angle_beta 90.00
_cell_angle_gamma 90.00
loop_
_space_group_symop_operation_xyz
'x,y,z'
'-x,-y,z'
'-x,y,z'
'x,-y,z'
'x,y+1/2,z+1/2'
'-x,-y+1/2,z+1/2'
'-x,y+1/2,z+1/2'
'x,-y+1/2,z+1/2'
loop_
_atom_site_label
_atom_site_fract_x
_atom_site_fract_y
_atom_site_fract_z
_atom_site_occupancy
Tb1 0.000 0.000 0.000 1
Tb2 0.000 0.000 0.500 1
Tb3 0.000 0.250 0.250 1
Tb4 0.253 0.000 0.252 1
Tb5 0.254 0.000 0.748 1
Tb6 0.254 0.248 0.500 1
Tb7 0.500 0.250 0.250 1
Th1 0.500 0.000 0.500 1
In1 0.500 0.000 0.000 1
```

---

# 4
TaZn2Ru | PBE-GGA | relaxed

Computed properties:
For the energy relative to the elements, the calculation gives 6.3 kJ/mol of atoms.

```
data_TaZn2Ru
_chemical_formula_sum 'Ta2 Zn4 Ru2'
_space_group_name_H-M_alt 'C m m m'
_space_group_IT_number 65
_space_group_name_Hall '-C 2 2'
_cell_length_a 5.178
_cell_length_b 8.297
_cell_length_c 2.826
_cell_angle_alpha 90.00
_cell_angle_beta 90.00
_cell_angle_gamma 90.00
loop_
_atom_site_label
_atom_site_fract_x
_atom_site_fract_y
_atom_site_fract_z
_atom_site_occupancy
Ta1 0.000 0.000 0.000 1
Zn1 0.250 0.250 0.500 1
Ru1 0.000 0.500 0.000 1
```

---

# 5
Ce2DyPa | PBE-GGA | relaxed

Computed properties:
For the energy relative to the elements, the calculation gives 7.7 kJ/mol of atoms.

```
data_Ce2DyPa
_chemical_formula_sum 'Ce2 Dy1 Pa1'
_space_group_name_H-M_alt 'P 4/m m m'
_space_group_IT_number 123
_space_group_name_Hall '-P 4 2'
_cell_length_a 3.347
_cell_length_b 3.347
_cell_length_c 9.892
_cell_angle_alpha 90.00
_cell_angle_beta 90.00
_cell_angle_gamma 90.00
loop_
_atom_site_label
_atom_site_fract_x
_atom_site_fract_y
_atom_site_fract_z
_atom_site_occupancy
Ce1 0.000 0.000 0.233 1
Dy1 0.500 0.500 0.500 1
Pa1 0.500 0.500 0.000 1
```

---

# 6
ZrCu2Hg | PBE-GGA | relaxed

Computed properties:
For the energy relative to the elements, the calculation gives 16.9 kJ/mol of atoms.

```
data_ZrCu2Hg
_chemical_formula_sum 'Zr3 Cu6 Hg3'
_space_group_name_H-M_alt 'R -3 m'
_space_group_IT_number 166
_space_group_name_Hall '-R 3 2"'
_cell_length_a 3.0526
_cell_length_b 3.0526
_cell_length_c 26.8617
_cell_angle_alpha 90.00
_cell_angle_beta 90.00
_cell_angle_gamma 120.00
loop_
_atom_site_label
_atom_site_fract_x
_atom_site_fract_y
_atom_site_fract_z
_atom_site_occupancy
Zr1 0.0000 0.0000 0.0000 1
Cu1 0.0000 0.0000 0.2502 1
Hg1 0.0000 0.0000 0.5000 1
```

---

# 7
Nd3Ho4Tm8 | PBE-GGA | relaxed

Computed properties:
For the energy relative to the elements, the calculation gives 38.7 kJ/mol of atoms.

```
data_Nd3Ho4Tm8
_chemical_formula_sum 'Nd6 Ho8 Tm16'
_space_group_name_H-M_alt 'C 1 2/m 1'
_space_group_IT_number 12
_cell_length_a 13.275
_cell_length_b 12.817
_cell_length_c 6.675
_cell_angle_alpha 90.00
_cell_angle_beta 120.08
_cell_angle_gamma 90.00
loop_
_space_group_symop_operation_xyz
'x,y,z'
'-x,-y,-z'
'-x,y,-z'
'x,-y,z'
'x+1/2,y+1/2,z'
'-x+1/2,-y+1/2,-z'
'-x+1/2,y+1/2,-z'
'x+1/2,-y+1/2,z'
loop_
_atom_site_label
_atom_site_fract_x
_atom_site_fract_y
_atom_site_fract_z
_atom_site_occupancy
Nd1 0.000 0.000 0.000 1
Nd2 0.250 0.250 0.000 1
Ho1 0.000 0.500 0.000 1
Ho2 0.000 0.500 0.500 1
Ho3 0.250 0.250 0.500 1
Tm1 0.000 0.139 0.500 1
Tm2 0.000 0.248 0.000 1
Tm3 0.234 0.000 0.968 1
Tm4 0.238 0.000 0.493 1
```

---

# 8
Li3TiPCO7 | PBE-GGA | relaxed

Computed properties:
The calculation puts the formation energy (no corrections) at -2.05 eV/atom.

```
data_Li3TiPCO7
_chemical_formula_sum 'Li6 Ti2 P2 C2 O14'
_space_group_name_H-M_alt 'P 1 21/m 1'
_space_group_IT_number 11
_cell_length_a 4.988
_cell_length_b 6.585
_cell_length_c 8.632
_cell_angle_alpha 90.00
_cell_angle_beta 96.99
_cell_angle_gamma 90.00
loop_
_space_group_symop_operation_xyz
'x,y,z'
'-x,-y,-z'
'-x,y+1/2,-z'
'x,-y+1/2,z'
loop_
_atom_site_label
_atom_site_fract_x
_atom_site_fract_y
_atom_site_fract_z
_atom_site_occupancy
Li1 0.194 0.250 0.107 1
Li2 0.271 0.518 0.720 1
Ti1 0.209 0.750 0.322 1
P1 0.269 0.250 0.409 1
C1 0.339 0.750 0.035 1
O1 0.088 0.750 0.062 1
O2 0.158 0.066 0.305 1
O3 0.163 0.250 0.569 1
O4 0.408 0.750 0.896 1
O5 0.416 0.750 0.570 1
O6 0.480 0.250 0.841 1
```

---

# 9
Ce2Ge6IrPd | PBE-GGA | relaxed

Computed properties:
For the energy relative to the elements, the calculation gives -39.3 kJ/mol of atoms.

```
data_Ce2Ge6IrPd
_chemical_formula_sum 'Ce12 Ge36 Ir6 Pd6'
_space_group_name_H-M_alt 'R -3 m'
_space_group_IT_number 166
_space_group_name_Hall '-R 3 2"'
_cell_length_a 6.1760
_cell_length_b 6.1760
_cell_length_c 38.2539
_cell_angle_alpha 90.00
_cell_angle_beta 90.00
_cell_angle_gamma 120.00
loop_
_atom_site_label
_atom_site_fract_x
_atom_site_fract_y
_atom_site_fract_z
_atom_site_occupancy
Ce1 0.0000 0.0000 0.1028 1
Ce2 0.0000 0.0000 0.2999 1
Ge1 0.0475 0.5237 0.2926 1
Ge2 0.0624 0.5312 0.8726 1
Ir1 0.0000 0.0000 0.4280 1
Pd1 0.0000 0.0000 0.0000 1
Pd2 0.0000 0.0000 0.5000 1
```

---

# 10
Nd2DyAl2 | PBE-GGA | relaxed

Computed properties:
For the energy relative to the elements, the calculation gives -29.7 kJ/mol of atoms.

```
data_Nd2DyAl2
_chemical_formula_sum 'Nd4 Dy2 Al4'
_space_group_name_H-M_alt 'I m m m'
_space_group_IT_number 71
_space_group_name_Hall '-I 2 2'
_cell_length_a 4.935
_cell_length_b 6.831
_cell_length_c 8.113
_cell_angle_alpha 90.00
_cell_angle_beta 90.00
_cell_angle_gamma 90.00
loop_
_atom_site_label
_atom_site_fract_x
_atom_site_fract_y
_atom_site_fract_z
_atom_site_occupancy
Nd1 0.000 0.000 0.198 1
Dy1 0.000 0.500 0.000 1
Al1 0.000 0.302 0.500 1
```

---

# 11
SrLiCd4 | PBE-GGA | relaxed

Computed properties:
For the energy relative to the elements, the calculation gives 6.5 kJ/mol of atoms.

```
data_SrLiCd4
_chemical_formula_sum 'Sr1 Li1 Cd4'
_space_group_name_H-M_alt 'P 4/m m m'
_space_group_IT_number 123
_space_group_name_Hall '-P 4 2'
_cell_length_a 4.851
_cell_length_b 4.851
_cell_length_c 7.501
_cell_angle_alpha 90.00
_cell_angle_beta 90.00
_cell_angle_gamma 90.00
loop_
_atom_site_label
_atom_site_fract_x
_atom_site_fract_y
_atom_site_fract_z
_atom_site_occupancy
Sr1 0.000 0.000 0.000 1
Li1 0.500 0.500 0.500 1
Cd1 0.000 0.500 0.500 1
Cd2 0.500 0.500 0.182 1
```

---

# 12
HoAlHg2 | PBE-GGA | relaxed

Computed properties:
For the energy relative to the elements, the calculation gives -26.9 kJ/mol of atoms.

```
data_HoAlHg2
_chemical_formula_sum 'Ho3 Al3 Hg6'
_space_group_name_H-M_alt 'R -3 m'
_space_group_IT_number 166
_space_group_name_Hall '-R 3 2"'
_cell_length_a 4.5337
_cell_length_b 4.5337
_cell_length_c 15.6026
_cell_angle_alpha 90.00
_cell_angle_beta 90.00
_cell_angle_gamma 120.00
loop_
_atom_site_label
_atom_site_fract_x
_atom_site_fract_y
_atom_site_fract_z
_atom_site_occupancy
Ho1 0.0000 0.0000 0.0000 1
Al1 0.0000 0.0000 0.5000 1
Hg1 0.0000 0.0000 0.2303 1
```

---

# 13
USnAs | PBE-GGA | relaxed

Computed properties:
For the energy relative to the elements, the calculation gives -39.0 kJ/mol of atoms.

```
data_USnAs
_chemical_formula_sum 'U4 Sn4 As4'
_space_group_name_H-M_alt 'I 4/m m m'
_space_group_IT_number 139
_space_group_name_Hall '-I 4 2'
_cell_length_a 4.119
_cell_length_b 4.119
_cell_length_c 16.589
_cell_angle_alpha 90.00
_cell_angle_beta 90.00
_cell_angle_gamma 90.00
loop_
_atom_site_label
_atom_site_fract_x
_atom_site_fract_y
_atom_site_fract_z
_atom_site_occupancy
U1 0.000 0.000 0.153 1
Sn1 0.000 0.500 0.000 1
As1 0.000 0.000 0.325 1
```

---

# 14
TiCu2As2 | PBE-GGA | relaxed

Computed properties:
For the energy relative to the elements, the calculation gives -3.3 kJ/mol of atoms.

```
data_TiCu2As2
_chemical_formula_sum 'Ti2 Cu4 As4'
_space_group_name_H-M_alt 'P 4/m b m'
_space_group_IT_number 127
_space_group_name_Hall '-P 4 2ab'
_cell_length_a 6.964
_cell_length_b 6.964
_cell_length_c 3.153
_cell_angle_alpha 90.00
_cell_angle_beta 90.00
_cell_angle_gamma 90.00
loop_
_atom_site_label
_atom_site_fract_x
_atom_site_fract_y
_atom_site_fract_z
_atom_site_occupancy
Ti1 0.000 0.000 0.000 1
Cu1 0.121 0.379 0.000 1
As1 0.183 0.683 0.500 1
```

---

# 15
Hf4Si6Tc7 | PBE-GGA | relaxed

Computed properties:
The calculation puts the formation energy (no corrections) at -0.59 eV/atom.

```
data_Hf4Si6Tc7
_chemical_formula_sum 'Hf8 Si12 Tc14'
_space_group_name_H-M_alt 'I m -3 m'
_space_group_IT_number 229
_space_group_name_Hall '-I 4 2 3'
_cell_length_a 8.096
_cell_length_b 8.096
_cell_length_c 8.096
_cell_angle_alpha 90.00
_cell_angle_beta 90.00
_cell_angle_gamma 90.00
loop_
_atom_site_label
_atom_site_fract_x
_atom_site_fract_y
_atom_site_fract_z
_atom_site_occupancy
Hf1 0.250 0.250 0.250 1
Si1 0.000 0.000 0.308 1
Tc1 0.000 0.000 0.000 1
Tc2 0.000 0.250 0.500 1
```

---

# 16
NdIn2Rh | PBE-GGA | relaxed

Computed properties:
For the energy relative to the elements, the calculation gives -57.1 kJ/mol of atoms.

```
data_NdIn2Rh
_chemical_formula_sum 'Nd8 In16 Rh8'
_space_group_name_H-M_alt 'P n m a'
_space_group_IT_number 62
_cell_length_a 16.294
_cell_length_b 8.044
_cell_length_c 5.620
_cell_angle_alpha 90.00
_cell_angle_beta 90.00
_cell_angle_gamma 90.00
loop_
_space_group_symop_operation_xyz
'x,y,z'
'-x,-y,-z'
'-x+1/2,-y,z+1/2'
'x+1/2,y,-z+1/2'
'x+1/2,-y+1/2,-z+1/2'
'-x+1/2,y+1/2,z+1/2'
'-x,y+1/2,-z'
'x,-y+1/2,z'
loop_
_atom_site_label
_atom_site_fract_x
_atom_site_fract_y
_atom_site_fract_z
_atom_site_occupancy
Nd1 0.104 0.250 0.239 1
Nd2 0.141 0.750 0.456 1
In1 0.037 0.051 0.748 1
In2 0.214 0.550 0.960 1
Rh1 0.072 0.750 0.982 1
Rh2 0.179 0.250 0.729 1
```

---

# 17
MgCr2In | PBE-GGA | relaxed

Computed properties:
For the energy relative to the elements, the calculation gives 80.3 kJ/mol of atoms.

```
data_MgCr2In
_chemical_formula_sum 'Mg4 Cr8 In4'
_space_group_name_H-M_alt 'I -4 2 d'
_space_group_IT_number 122
_space_group_name_Hall 'I -4 2bw'
_cell_length_a 7.604
_cell_length_b 7.604
_cell_length_c 5.918
_cell_angle_alpha 90.00
_cell_angle_beta 90.00
_cell_angle_gamma 90.00
loop_
_atom_site_label
_atom_site_fract_x
_atom_site_fract_y
_atom_site_fract_z
_atom_site_occupancy
Mg1 0.000 0.000 0.000 1
Cr1 0.245 0.250 0.625 1
In1 0.000 0.000 0.500 1
```

---

# 18
Ti4Al2H | PBE-GGA | relaxed

Computed properties:
For the raw total energy, the calculation gives -6.28 eV per atom.

```
data_Ti4Al2H
_chemical_formula_sum 'Ti8 Al4 H2'
_space_group_name_H-M_alt 'I 4/m m m'
_space_group_IT_number 139
_space_group_name_Hall '-I 4 2'
_cell_length_a 3.801
_cell_length_b 3.801
_cell_length_c 14.609
_cell_angle_alpha 90.00
_cell_angle_beta 90.00
_cell_angle_gamma 90.00
loop_
_atom_site_label
_atom_site_fract_x
_atom_site_fract_y
_atom_site_fract_z
_atom_site_occupancy
Ti1 0.000 0.000 0.176 1
Ti2 0.000 0.500 0.000 1
Al1 0.000 0.000 0.362 1
H1 0.000 0.000 0.000 1
```

---

# 19
Zr3Ga3Ir2 | PBE-GGA | relaxed

Computed properties:
For the energy relative to the elements, the calculation gives -65.1 kJ/mol of atoms.

```
data_Zr3Ga3Ir2
_chemical_formula_sum 'Zr12 Ga12 Ir8'
_space_group_name_H-M_alt 'P n m a'
_space_group_IT_number 62
_cell_length_a 7.845
_cell_length_b 13.828
_cell_length_c 5.430
_cell_angle_alpha 90.00
_cell_angle_beta 90.00
_cell_angle_gamma 90.00
loop_
_space_group_symop_operation_xyz
'x,y,z'
'-x,-y,-z'
'-x+1/2,-y,z+1/2'
'x+1/2,y,-z+1/2'
'x+1/2,-y+1/2,-z+1/2'
'-x+1/2,y+1/2,z+1/2'
'-x,y+1/2,-z'
'x,-y+1/2,z'
loop_
_atom_site_label
_atom_site_fract_x
_atom_site_fract_y
_atom_site_fract_z
_atom_site_occupancy
Zr1 0.032 0.114 0.119 1
Zr2 0.181 0.250 0.645 1
Ga1 0.189 0.750 0.648 1
Ga2 0.195 0.031 0.600 1
Ir1 0.087 0.614 0.359 1
```

---

# 20
Pm2TmNi | PBE-GGA | relaxed

Computed properties:
For the energy relative to the elements, the calculation gives -20.1 kJ/mol of atoms.

```
data_Pm2TmNi
_chemical_formula_sum 'Pm8 Tm4 Ni4'
_space_group_name_H-M_alt 'P n m a'
_space_group_IT_number 62
_cell_length_a 6.917
_cell_length_b 9.862
_cell_length_c 6.339
_cell_angle_alpha 90.00
_cell_angle_beta 90.00
_cell_angle_gamma 90.00
loop_
_space_group_symop_operation_xyz
'x,y,z'
'-x,-y,-z'
'-x+1/2,-y,z+1/2'
'x+1/2,y,-z+1/2'
'x+1/2,-y+1/2,-z+1/2'
'-x+1/2,y+1/2,z+1/2'
'-x,y+1/2,-z'
'x,-y+1/2,z'
loop_
_atom_site_label
_atom_site_fract_x
_atom_site_fract_y
_atom_site_fract_z
_atom_site_occupancy
Pm1 0.181 0.066 0.177 1
Tm1 0.038 0.250 0.651 1
Ni1 0.112 0.750 0.950 1
```

---

| no. | total magnetization (μB/atom) |
| --- | --- |
| 1 | 0.000 |
| 2 | 0.000 |
| 3 | 0.000 |
| 4 | 0.000 |
| 5 | 0.000 |
| 6 | 0.000 |
| 7 | 0.000 |
| 8 | 0.154 |
| 9 | 0.170 |
| 10 | 0.000 |
| 11 | 0.000 |
| 12 | 0.000 |
| 13 | 0.549 |
| 14 | 0.000 |
| 15 | 0.000 |
| 16 | 0.000 |
| 17 | 2.063 |
| 18 | 0.000 |
| 19 | 0.000 |
| 20 | 0.000 |